[1]
DFT (PBE) results for crystalline PrLuHgBi at its relaxed geometry.

Results
ΔE_f ... -1.9 eV per formula unit
Total magnetic moment ... 0.0 μB/f.u.

```
data_PrLuHgBi
_chemical_formula_sum 'Pr4 Lu4 Hg4 Bi4'
_cell_length_a 7.692
_cell_length_b 7.692
_cell_length_c 7.692
_cell_angle_alpha 90.00
_cell_angle_beta 90.00
_cell_angle_gamma 90.00
_symmetry_space_group_name_H-M 'F -4 3 m'
_symmetry_Int_Tables_number 216
_symmetry_space_group_name_Hall 'F -4 2 3'
loop_
_atom_site_label
_atom_site_type_symbol
_atom_site_fract_x
_atom_site_fract_y
_atom_site_fract_z
_atom_site_occupancy
Pr1 Pr 0.000 0.000 0.000 1
Lu1 Lu 0.000 0.000 0.500 1
Hg1 Hg 0.250 0.250 0.750 1
Bi1 Bi 0.250 0.250 0.250 1
```

=====

[2]
DFT (PBE) results for crystalline LuPuHgBi at its relaxed geometry.

Results
ΔE_f ... -1.2 eV per formula unit
Total magnetic moment ... 6.8 μB/f.u.

```
data_LuPuHgBi
_chemical_formula_sum 'Lu4 Pu4 Hg4 Bi4'
_cell_length_a 7.570
_cell_length_b 7.570
_cell_length_c 7.570
_cell_angle_alpha 90.00
_cell_angle_beta 90.00
_cell_angle_gamma 90.00
_symmetry_space_group_name_H-M 'F -4 3 m'
_symmetry_Int_Tables_number 216
_symmetry_space_group_name_Hall 'F -4 2 3'
loop_
_atom_site_label
_atom_site_type_symbol
_atom_site_fract_x
_atom_site_fract_y
_atom_site_fract_z
_atom_site_occupancy
Lu1 Lu 0.000 0.000 0.000 1
Pu1 Pu 0.000 0.000 0.500 1
Hg1 Hg 0.250 0.250 0.750 1
Bi1 Bi 0.250 0.250 0.250 1
```

=====

[3]
DFT (PBE) results for crystalline SmLuHgBi at its relaxed geometry.

Results
ΔE_f ... -1.9 eV per formula unit
Total magnetic moment ... 0.0 μB/f.u.

```
data_SmLuHgBi
_chemical_formula_sum 'Sm4 Lu4 Hg4 Bi4'
_cell_length_a 7.625
_cell_length_b 7.625
_cell_length_c 7.625
_cell_angle_alpha 90.00
_cell_angle_beta 90.00
_cell_angle_gamma 90.00
_symmetry_space_group_name_H-M 'F -4 3 m'
_symmetry_Int_Tables_number 216
_symmetry_space_group_name_Hall 'F -4 2 3'
loop_
_atom_site_label
_atom_site_type_symbol
_atom_site_fract_x
_atom_site_fract_y
_atom_site_fract_z
_atom_site_occupancy
Sm1 Sm 0.000 0.000 0.000 1
Lu1 Lu 0.000 0.000 0.500 1
Hg1 Hg 0.250 0.250 0.750 1
Bi1 Bi 0.250 0.250 0.250 1
```

=====

[4]
DFT (PBE) results for crystalline LuTlHgBi at its relaxed geometry.

Results
ΔE_f ... -0.7 eV per formula unit
Total magnetic moment ... 0.0 μB/f.u.

```
data_LuTlHgBi
_chemical_formula_sum 'Lu4 Tl4 Hg4 Bi4'
_cell_length_a 7.694
_cell_length_b 7.694
_cell_length_c 7.694
_cell_angle_alpha 90.00
_cell_angle_beta 90.00
_cell_angle_gamma 90.00
_symmetry_space_group_name_H-M 'F -4 3 m'
_symmetry_Int_Tables_number 216
_symmetry_space_group_name_Hall 'F -4 2 3'
loop_
_atom_site_label
_atom_site_type_symbol
_atom_site_fract_x
_atom_site_fract_y
_atom_site_fract_z
_atom_site_occupancy
Lu1 Lu 0.000 0.000 0.000 1
Tl1 Tl 0.000 0.000 0.500 1
Hg1 Hg 0.250 0.250 0.250 1
Bi1 Bi 0.250 0.250 0.750 1
```